The following is a DFT calculation (GGA-PBE) of an optimized crystal structure of Ho2TlCd.

Lattice parameters (Å, degrees): 3.6852 3.6852 9.8929 79.27 79.27 60.00
Positions (direct):
Tl 0.5000 0.5000 0.5000
Ho 0.2501 0.2501 0.2497
Ho 0.7499 0.7499 0.7503
Cd 0.0000 0.0000 0.0000

## Properties
symmetry = No. 166
electronic total energy = -3.31 eV per atom